Record 1
# Ga2RuPt

A relaxed structure of Ga2RuPt (PBE-GGA, the Alexandria database).

a b c (Å): 4.252 4.252 3.200
angles (deg): 90.00 90.00 90.00
Positions (direct):
Ga: 0.000 0.500 0.000
Ga: 0.500 0.000 0.000
Ru: 0.000 0.000 0.500
Pt: 0.500 0.500 0.500

## Properties
* formation energy: -0.49 eV per atom
* VASP energy: -5.837 eV/atom
* symmetry: P4/mmm, No. 123
* DOS(E_F): 1.1 states/eV/f.u.

***

Record 2
# Ga2RuPt2

A relaxed structure of Ga2RuPt2 (PBE-GGA, the Alexandria database).

a b c (Å): 7.368 7.368 2.820
angles (deg): 90.00 90.00 90.00
Positions (direct):
Ga: 0.152 0.348 0.000
Ga: 0.348 0.848 0.000
Ga: 0.652 0.152 0.000
Ga: 0.848 0.652 0.000
Ru: 0.000 0.000 0.000
Ru: 0.500 0.500 0.000
Pt: 0.148 0.648 0.500
Pt: 0.352 0.148 0.500
Pt: 0.648 0.852 0.500
Pt: 0.852 0.352 0.500

## Properties
* formation energy: -0.26 eV per atom
* VASP energy: -5.746 eV/atom
* symmetry: P4/mbm, No. 127
* energy above the lowest structure with this stoichiometry: 0.000 eV per atom
* DOS(E_F): 3.1 states/eV/f.u.

***

Record 3
# Ga2RuPt

A relaxed structure of Ga2RuPt (PBE-GGA, the Alexandria database).

a b c (Å): 4.346 4.346 4.346
angles (deg): 60.00 60.00 60.00
Positions (direct):
Ga: 0.250 0.250 0.250
Ga: 0.750 0.750 0.750
Ru: 0.000 0.000 0.000
Pt: 0.500 0.500 0.500

## Properties
* formation energy: -0.45 eV per atom
* VASP energy: -5.791 eV/atom
* symmetry: Fm-3m, No. 225
* DOS(E_F): 1.0 states/eV/f.u.

***

Record 4
# Ga2RuPt

A relaxed structure of Ga2RuPt (PBE-GGA, the Alexandria database).

a b c (Å): 5.743 5.743 5.743
angles (deg): 152.74 129.33 58.48
Positions (direct):
Ga: 0.250 0.250 0.000
Ga: 0.750 0.750 0.000
Ru: 0.000 0.000 0.000
Pt: 0.500 0.500 0.000

## Properties
* formation energy: 0.17 eV per atom
* VASP energy: -5.173 eV/atom
* symmetry: Immm, No. 71
* DOS(E_F): 3.6 states/eV/f.u.

***

Record 5
# GaRu3Pt

A relaxed structure of GaRu3Pt (PBE-GGA, the Alexandria database).

a b c (Å): 4.456 4.456 4.456
angles (deg): 90.00 90.00 90.00
Positions (direct):
Ga: 0.000 0.000 0.000
Ru: 0.000 0.000 0.500
Ru: 0.000 0.500 0.000
Ru: 0.500 0.000 0.000
Pt: 0.500 0.500 0.500

## Properties
* formation energy: 1.41 eV per atom
* VASP energy: -5.971 eV/atom
* symmetry: Pm-3m, No. 221
* energy above the lowest structure with this stoichiometry: 0.000 eV per atom
* DOS(E_F): 9.2 states/eV/f.u.

***

Record 6
# GaRuPtS2

A relaxed structure of GaRuPtS2 (PBE-GGA, the Alexandria database).

a b c (Å): 4.420 4.420 5.337
angles (deg): 90.00 90.00 90.00
Positions (direct):
Ga: 0.000 0.000 0.000
Ru: 0.500 0.500 0.500
Pt: 0.500 0.500 0.000
S: 0.000 0.500 0.500
S: 0.500 0.000 0.500

## Properties
* uncorrected formation energy: 0.4472 eV per atom
* VASP energy: -4.872 eV/atom
* symmetry: P4/mmm, No. 123
* DOS(E_F): 4.9 states/eV/f.u.

***

Record 7
# GaSiRu2Pt

A relaxed structure of GaSiRu2Pt (PBE-GGA, the Alexandria database).

a b c (Å): 5.006 5.006 4.401
angles (deg): 90.00 90.00 90.00
Positions (direct):
Ga: 0.000 0.000 0.000
Si: 0.500 0.500 0.000
Ru: 0.000 0.500 0.500
Ru: 0.500 0.000 0.500
Pt: 0.500 0.500 0.500

## Properties
* uncorrected formation energy: 1.2759 eV per atom
* VASP energy: -5.333 eV/atom
* symmetry: P4/mmm, No. 123
* DOS(E_F): 5.6 states/eV/f.u.

***

Record 8
# Sm2Ga4RuPt3

A relaxed structure of Sm2Ga4RuPt3 (PBE-GGA, the Alexandria database).

a b c (Å): 4.320 4.320 10.181
angles (deg): 90.00 90.00 90.00
Positions (direct):
Sm: 0.000 0.500 0.239
Sm: 0.500 0.000 0.761
Ga: 0.000 0.000 0.500
Ga: 0.000 0.500 0.875
Ga: 0.500 0.000 0.125
Ga: 0.500 0.500 0.500
Ru: 0.500 0.500 0.000
Pt: 0.000 0.000 0.000
Pt: 0.000 0.500 0.632
Pt: 0.500 0.000 0.368

## Properties
* formation energy: -0.87 eV per atom
* VASP energy: -5.766 eV/atom
* symmetry: P-4m2, No. 115
* DOS(E_F): 4.4 states/eV/f.u.

***

Record 9
# Sm2Ga3RuPt4

A relaxed structure of Sm2Ga3RuPt4 (PBE-GGA, the Alexandria database).

a b c (Å): 4.100 4.100 11.216
angles (deg): 90.00 90.00 90.00
Positions (direct):
Sm: 0.000 0.500 0.246
Sm: 0.500 0.000 0.754
Ga: 0.000 0.000 0.000
Ga: 0.000 0.500 0.633
Ga: 0.500 0.000 0.367
Ru: 0.500 0.500 0.000
Pt: 0.000 0.000 0.500
Pt: 0.000 0.500 0.853
Pt: 0.500 0.000 0.147
Pt: 0.500 0.500 0.500

## Properties
* formation energy: -0.80 eV per atom
* VASP energy: -5.996 eV/atom
* symmetry: P-4m2, No. 115
* DOS(E_F): 7.0 states/eV/f.u.

***

Record 10
# TaGaRu2Pt

A relaxed structure of TaGaRu2Pt (PBE-GGA, the Alexandria database).

a b c (Å): 4.889 4.889 4.430
angles (deg): 90.00 90.00 90.00
Positions (direct):
Ta: 0.000 0.000 0.000
Ga: 0.500 0.500 0.000
Ru: 0.000 0.500 0.500
Ru: 0.500 0.000 0.500
Pt: 0.500 0.500 0.500

## Properties
* formation energy: 1.54 eV per atom
* VASP energy: -6.355 eV/atom
* symmetry: P4/mmm, No. 123
* DOS(E_F): 7.1 states/eV/f.u.

***

Record 11
# TaGaRuPt

A relaxed structure of TaGaRuPt (PBE-GGA, the Alexandria database).

a b c (Å): 4.463 4.463 4.463
angles (deg): 60.00 60.00 60.00
Positions (direct):
Ta: 0.000 0.000 0.000
Ga: 0.500 0.500 0.500
Ru: 0.750 0.750 0.750
Pt: 0.250 0.250 0.250

## Properties
* formation energy: -0.37 eV per atom
* VASP energy: -7.918 eV/atom
* symmetry: F-43m, No. 216
* DOS(E_F): 4.0 states/eV/f.u.

***

Record 12
# Tb2Ga4RuPt3

A relaxed structure of Tb2Ga4RuPt3 (PBE-GGA, the Alexandria database).

a b c (Å): 4.280 4.280 10.208
angles (deg): 90.00 90.00 90.00
Positions (direct):
Tb: 0.000 0.500 0.236
Tb: 0.500 0.000 0.764
Ga: 0.000 0.000 0.500
Ga: 0.000 0.500 0.874
Ga: 0.500 0.000 0.126
Ga: 0.500 0.500 0.500
Ru: 0.500 0.500 0.000
Pt: 0.000 0.000 0.000
Pt: 0.000 0.500 0.633
Pt: 0.500 0.000 0.367

## Properties
* formation energy: -0.86 eV per atom
* VASP energy: -5.741 eV/atom
* symmetry: P-4m2, No. 115
* DOS(E_F): 4.1 states/eV/f.u.

***

Record 13
# GaTeRu2Pt

A relaxed structure of GaTeRu2Pt (PBE-GGA, the Alexandria database).

a b c (Å): 4.569 4.569 5.085
angles (deg): 90.00 90.00 90.00
Positions (direct):
Ga: 0.000 0.000 0.000
Te: 0.000 0.000 0.500
Ru: 0.000 0.500 0.000
Ru: 0.500 0.000 0.000
Pt: 0.500 0.500 0.500

## Properties
* uncorrected formation energy: 1.4008 eV per atom
* VASP energy: -4.751 eV/atom
* symmetry: P4/mmm, No. 123
* DOS(E_F): 6.5 states/eV/f.u.

***

Record 14
# TiGaRuPt

A relaxed structure of TiGaRuPt (PBE-GGA, the Alexandria database).

a b c (Å): 4.531 4.531 4.531
angles (deg): 125.88 125.88 80.08
Positions (direct):
Ti: 0.000 0.000 0.000
Ga: 0.500 0.500 0.000
Ru: 0.750 0.250 0.500
Pt: 0.250 0.750 0.500

## Properties
* formation energy: -0.76 eV per atom
* VASP energy: -7.315 eV/atom
* symmetry: I-4m2, No. 119
* DOS(E_F): 1.2 states/eV/f.u.